Arrangement 1

A geometry-optimized GdRePO structure. Source: the Open Quantum Materials Database, functional PBE.

a = 4.364 Å, b = 4.393 Å, c = 6.387 Å
α = 90.00°, β = 90.00°, γ = 90.00°
Sites, in units of the cell vectors:
O: 0.500 0.331 0.436
P: 0.000 0.161 0.788
Re: 0.000 0.658 0.941
P: 0.000 0.839 0.288
Re: 0.000 0.342 0.441
Gd: 0.500 0.189 0.090
O: 0.500 0.669 0.936
Gd: 0.500 0.811 0.590

Output
crystal system	orthorhombic
symmetry	Pmc2_1

Arrangement 2

A geometry-optimized GdRePO structure. Source: the Open Quantum Materials Database, functional PBE.

a = 3.929 Å, b = 3.929 Å, c = 8.402 Å
α = 90.00°, β = 90.00°, γ = 90.00°
Sites, in units of the cell vectors:
P: 0.500 0.000 0.334
P: 0.000 0.500 0.666
Re: 0.500 0.500 0.500
Gd: 0.500 0.000 0.865
O: 0.500 0.500 0.000
Gd: 0.000 0.500 0.135
O: 0.000 0.000 0.000
Re: 0.000 0.000 0.500

Output
crystal system	tetragonal
symmetry	P4/nmm

Arrangement 3

A geometry-optimized GdRePO structure. Source: the Open Quantum Materials Database, functional PBE.

a = 4.284 Å, b = 4.284 Å, c = 6.689 Å
α = 90.00°, β = 90.00°, γ = 90.00°
Sites, in units of the cell vectors:
Gd: 0.500 0.500 0.500
O: 0.000 0.000 0.000
P: 0.000 0.500 0.773
Re: 0.500 0.000 0.878
O: 0.500 0.500 0.000
Gd: 0.000 0.000 0.500
P: 0.500 0.000 0.227
Re: 0.000 0.500 0.122

Output
crystal system	tetragonal
symmetry	P4/nmm

Energies, relative to the best one, in meV/atom: arrangement 1 473; arrangement 2 0; arrangement 3 1792.

Arrangement 1

A geometry-optimized GdSbPO structure. Source: the Open Quantum Materials Database, functional PBE.

a = 4.057 Å, b = 4.057 Å, c = 10.041 Å
α = 90.00°, β = 90.00°, γ = 90.00°
Sites, in units of the cell vectors:
O: 0.000 0.000 0.000
P: 0.000 0.500 0.726
Sb: 0.500 0.500 0.500
O: 0.500 0.500 0.000
P: 0.500 0.000 0.274
Gd: 0.000 0.500 0.106
Sb: 0.000 0.000 0.500
Gd: 0.500 0.000 0.894

Output
crystal system	tetragonal
symmetry	P4/nmm

Arrangement 2

A geometry-optimized GdSbPO structure. Source: the Open Quantum Materials Database, functional PBE.

a = 4.272 Å, b = 6.059 Å, c = 6.162 Å
α = 90.00°, β = 90.00°, γ = 90.00°
Sites, in units of the cell vectors:
Sb: 0.500 0.875 0.484
Gd: 0.000 0.723 0.082
O: 0.000 0.066 0.901
Sb: 0.500 0.125 0.984
P: 0.500 0.427 0.287
Gd: 0.000 0.277 0.582
O: 0.000 0.934 0.401
P: 0.500 0.573 0.787

Output
crystal system	orthorhombic
symmetry	Pmc2_1

Arrangement 3

A geometry-optimized GdSbPO structure. Source: the Open Quantum Materials Database, functional PBE.

a = 5.488 Å, b = 5.488 Å, c = 5.230 Å
α = 90.00°, β = 90.00°, γ = 90.00°
Sites, in units of the cell vectors:
Gd: 0.000 0.000 0.500
P: 0.500 0.000 0.496
O: 0.000 0.000 0.000
Gd: 0.500 0.500 0.500
Sb: 0.500 0.000 0.998
P: 0.000 0.500 0.504
O: 0.500 0.500 0.000
Sb: 0.000 0.500 0.002

Output
crystal system	tetragonal
symmetry	P4/nmm

Arrangement 4

A geometry-optimized GdSbPO structure. Source: the Open Quantum Materials Database, functional PBE.

a = 3.723 Å, b = 6.825 Å, c = 8.187 Å
α = 90.00°, β = 90.00°, γ = 90.00°
Sites, in units of the cell vectors:
P: 0.000 0.316 0.326
Gd: 0.000 0.699 0.479
P: 0.000 0.684 0.826
O: 0.500 0.833 0.430
Gd: 0.000 0.301 0.979
Sb: 0.500 0.767 0.019
Sb: 0.500 0.233 0.519
O: 0.500 0.167 0.930

Output
crystal system	orthorhombic
symmetry	Pmc2_1

Energies, relative to the best one, in meV/atom: arrangement 1 0; arrangement 2 69; arrangement 3 342; arrangement 4 121.

Arrangement 1

A geometry-optimized SmGdPO structure. Source: the Open Quantum Materials Database, functional PBE.

a = 4.233 Å, b = 7.745 Å, c = 5.585 Å
α = 90.00°, β = 90.00°, γ = 90.00°
Sites, in units of the cell vectors:
P: 0.000 0.348 0.439
O: 0.500 0.172 0.906
Gd: 0.000 0.704 0.439
Sm: 0.500 0.130 0.470
O: 0.500 0.828 0.406
Gd: 0.000 0.296 0.939
P: 0.000 0.652 0.939
Sm: 0.500 0.870 0.970

Output
crystal system	orthorhombic
symmetry	Pmc2_1

Arrangement 2

A geometry-optimized SmGdPO structure. Source: the Open Quantum Materials Database, functional PBE.

a = 4.342 Å, b = 4.342 Å, c = 8.823 Å
α = 90.00°, β = 90.00°, γ = 90.00°
Sites, in units of the cell vectors:
P: 0.000 0.500 0.702
P: 0.500 0.000 0.298
O: 0.000 0.000 0.000
O: 0.500 0.500 0.000
Sm: 0.500 0.500 0.500
Sm: 0.000 0.000 0.500
Gd: 0.000 0.500 0.102
Gd: 0.500 0.000 0.898

Output
crystal system	tetragonal
symmetry	P4/nmm

Arrangement 3

A geometry-optimized SmGdPO structure. Source: the Open Quantum Materials Database, functional PBE.

a = 13.313 Å, b = 13.313 Å, c = 13.313 Å
α = 17.10°, β = 17.10°, γ = 17.10°
Sites, in units of the cell vectors:
Sm: 0.209 0.209 0.209
O: 0.311 0.311 0.311
P: 0.086 0.086 0.086
O: 0.689 0.689 0.689
Sm: 0.791 0.791 0.791
P: 0.914 0.914 0.914
Gd: 0.370 0.370 0.370
Gd: 0.630 0.630 0.630

Output
crystal system	trigonal
symmetry	R-3m

Energies, relative to the best one, in meV/atom: arrangement 1 111; arrangement 2 241; arrangement 3 0.

Arrangement 1

A geometry-optimized SmGdPO structure. Source: the Open Quantum Materials Database, functional PBE.

a = 4.236 Å, b = 7.604 Å, c = 5.820 Å
α = 90.00°, β = 90.00°, γ = 90.00°
Sites, in units of the cell vectors:
O: 0.500 0.670 0.882
Gd: 0.500 0.621 0.499
O: 0.500 0.330 0.382
Sm: 0.000 0.802 0.938
P: 0.000 0.834 0.435
Sm: 0.000 0.198 0.438
Gd: 0.500 0.379 0.999
P: 0.000 0.166 0.935

Output
crystal system	orthorhombic
symmetry	Pmc2_1

Arrangement 2

A geometry-optimized SmGdPO structure. Source: the Open Quantum Materials Database, functional PBE.

a = 4.367 Å, b = 4.367 Å, c = 8.809 Å
α = 90.00°, β = 90.00°, γ = 90.00°
Sites, in units of the cell vectors:
P: 0.000 0.500 0.695
Sm: 0.000 0.500 0.107
O: 0.000 0.000 0.000
Gd: 0.500 0.500 0.500
Sm: 0.500 0.000 0.893
Gd: 0.000 0.000 0.500
P: 0.500 0.000 0.305
O: 0.500 0.500 0.000

Output
crystal system	tetragonal
symmetry	P4/nmm

Energies, relative to the best one, in meV/atom: arrangement 1 0; arrangement 2 101.

Arrangement 1

A geometry-optimized TbGdPO structure. Source: the Open Quantum Materials Database, functional PBE.

a = 4.174 Å, b = 7.634 Å, c = 5.626 Å
α = 90.00°, β = 90.00°, γ = 90.00°
Sites, in units of the cell vectors:
Tb: 0.500 0.203 0.439
Gd: 0.000 0.625 0.485
Tb: 0.500 0.797 0.939
P: 0.500 0.156 0.937
P: 0.500 0.844 0.437
O: 0.000 0.673 0.893
O: 0.000 0.327 0.393
Gd: 0.000 0.375 0.985

Output
crystal system	orthorhombic
symmetry	Pmc2_1

Arrangement 2

A geometry-optimized TbGdPO structure. Source: the Open Quantum Materials Database, functional PBE.

a = 4.321 Å, b = 4.321 Å, c = 8.657 Å
α = 90.00°, β = 90.00°, γ = 90.00°
Sites, in units of the cell vectors:
Gd: 0.500 0.500 0.500
O: 0.000 0.000 0.000
Tb: 0.000 0.500 0.103
Gd: 0.000 0.000 0.500
P: 0.500 0.000 0.300
O: 0.500 0.500 0.000
Tb: 0.500 0.000 0.897
P: 0.000 0.500 0.700

Output
crystal system	tetragonal
symmetry	P4/nmm

Energies, relative to the best one, in meV/atom: arrangement 1 0; arrangement 2 117.

Arrangement 1

A geometry-optimized Gd2Pb2O5 structure. Source: the Open Quantum Materials Database, functional PBE.

a = 7.159 Å, b = 4.470 Å, c = 4.470 Å
α = 90.00°, β = 90.00°, γ = 90.00°
Sites, in units of the cell vectors:
O: 0.500 0.500 0.500
O: 0.227 0.000 0.500
Pb: 0.793 0.500 0.500
Gd: 0.500 0.000 0.000
O: 0.227 0.500 0.000
O: 0.773 0.500 0.000
O: 0.773 0.000 0.500
Gd: 0.000 0.000 0.000
Pb: 0.207 0.500 0.500

Output
crystal system	tetragonal
symmetry	P4/mmm

Arrangement 2

A geometry-optimized Gd2Pb2O5 structure. Source: the Open Quantum Materials Database, functional PBE.

a = 8.304 Å, b = 4.353 Å, c = 4.353 Å
α = 90.00°, β = 90.00°, γ = 90.00°
Sites, in units of the cell vectors:
O: 0.810 0.000 0.500
O: 0.500 0.500 0.500
Gd: 0.242 0.500 0.500
O: 0.810 0.500 0.000
O: 0.190 0.000 0.500
Pb: 0.500 0.000 0.000
Gd: 0.758 0.500 0.500
O: 0.190 0.500 0.000
Pb: 0.000 0.000 0.000

Output
crystal system	tetragonal
symmetry	P4/mmm

Energies, relative to the best one, in meV/atom: arrangement 1 694; arrangement 2 0.